A plane-wave DFT calculation with GGA-PBE was carried out for K2Np3S8 after structural relaxation.

abc: 8.6095 8.6095 6.8996
angles: 106.12 106.12 55.73
With the nearest neighbours (Å) after each atom.
Positions (direct):
K (0.2291, 0.2291, 0.1640)  6 S 3.20-3.34
K (0.7709, 0.7709, 0.8360)  6 S 3.20-3.34
Np (0.2451, 0.7549, 0.5000)  6 S 2.59-2.72
Np (0.5000, 0.5000, 0.0000)  6 S 2.60-2.69
Np (0.7549, 0.2451, 0.5000)  6 S 2.59-2.72
S (0.1032, 0.1032, 0.4609)  2 Np 2.59
S (0.1789, 0.6297, 0.1151)  2 Np 2.60-2.61
S (0.3703, 0.8211, 0.8849)  2 Np 2.60-2.61
S (0.4050, 0.4050, 0.5992)  3 Np 2.69-2.72
S (0.5950, 0.5950, 0.4008)  3 Np 2.69-2.72
S (0.6297, 0.1789, 0.1151)  2 Np 2.60-2.61
S (0.8211, 0.3703, 0.8849)  2 Np 2.60-2.61
S (0.8968, 0.8968, 0.5391)  2 Np 2.59

* raw formation energy: -1.22 eV per atom
* M_tot: 7.00 Bohr magnetons per cell